1.
First-principles (PBE-GGA) data for a relaxed AlFeTc2W crystal, as listed in Alexandria.

Properties
Total moment (μB per atom): 0.000
VASP energy (eV per atom): -8.044
DOS(E_F) (states/eV/f.u.): 5.503
Formation enthalpy at 0 K (eV/atom): 1.134

```
AlFeTc2W
1.0
4.397 0.000 0.000
0.000 4.397 0.000
0.000 0.000 4.439
Al Fe Tc W
1 1 2 1
direct
0.000 0.000 0.000 Al
0.500 0.500 0.500 Fe
0.000 0.500 0.500 Tc
0.500 0.000 0.500 Tc
0.500 0.500 0.000 W
```

=====

2.
First-principles (PBE-GGA) data for a relaxed RbZn2In crystal, as listed in Alexandria.

Properties
Total moment (μB per atom): 0.000
VASP energy (eV per atom): -1.542
DOS(E_F) (states/eV/f.u.): 1.210
Formation enthalpy at 0 K (eV/atom): 0.021

```
RbZn2In
1.0
2.343 1.353 6.473
-2.343 1.353 6.473
0.000 -2.705 6.473
Rb Zn In
1 2 1
direct
0.000 0.000 0.000 Rb
0.195 0.195 0.195 Zn
0.805 0.805 0.805 Zn
0.500 0.500 0.500 In
```

=====

3.
First-principles (PBE-GGA) data for a relaxed BeRe3 crystal, as listed in Alexandria.

Properties
Total moment (μB per atom): 0.000
VASP energy (eV per atom): -10.255
ΔE to the lowest computed polymorph (meV per atom): 74
DOS(E_F) (states/eV/f.u.): 1.393
Formation enthalpy at 0 K (eV/atom): 0.012

```
BeRe3
1.0
2.829 0.000 0.000
0.000 2.829 0.000
0.000 0.000 6.633
Be Re
1 3
direct
0.000 0.000 0.000 Be
0.000 0.000 0.500 Re
0.500 0.500 0.220 Re
0.500 0.500 0.780 Re
```

=====

4.
First-principles (PBE-GGA) data for a relaxed NdSm6Er2Tm crystal, as listed in Alexandria.

Properties
Total moment (μB per atom): 0.000
VASP energy (eV per atom): -4.550
DOS(E_F) (states/eV/f.u.): 14.255
Formation enthalpy at 0 K (eV/atom): 0.118

```
NdSm6Er2Tm
1.0
4.624 -7.579 0.000
4.624 7.579 0.000
-1.080 0.000 9.491
Nd Sm Er Tm
2 12 4 2
direct
0.029 0.971 0.750 Nd
0.971 0.029 0.250 Nd
0.009 0.561 0.685 Sm
0.119 0.759 0.055 Sm
0.241 0.881 0.445 Sm
0.292 0.514 0.883 Sm
0.439 0.991 0.815 Sm
0.486 0.708 0.617 Sm
0.514 0.292 0.383 Sm
0.561 0.009 0.185 Sm
0.708 0.486 0.117 Sm
0.759 0.119 0.555 Sm
0.881 0.241 0.945 Sm
0.991 0.439 0.315 Sm
0.204 0.304 0.548 Er
0.304 0.204 0.048 Er
0.696 0.796 0.952 Er
0.796 0.696 0.452 Er
0.412 0.588 0.250 Tm
0.588 0.412 0.750 Tm
```